Entry 1:
# Ba4Mg3Cd

Ba4Mg3Cd after structural relaxation (GGA-PBE, Alexandria via LeMat-Bulk).

Results
Total magnetization ... 0.00 Bohr magnetons per cell
Calculated volume ... 326.2 Å³/cell
Energy above the lowest structure with this stoichiometry ... 0.0 meV per atom

Cell: 4.314 4.314 17.527 Å, 90.00 90.00 90.00°
Fractional positions:
Ba: 0.000 0.000 0.119
Ba: 0.000 0.000 0.374
Ba: 0.000 0.000 0.626
Ba: 0.000 0.000 0.881
Mg: 0.500 0.500 0.249
Mg: 0.500 0.500 0.500
Mg: 0.500 0.500 0.751
Cd: 0.500 0.500 0.000

=====

Entry 2:
# Ba3Mg6Cd5

Ba3Mg6Cd5 after structural relaxation (GGA-PBE, Alexandria via LeMat-Bulk).

Results
Total magnetization ... 0.00 Bohr magnetons per cell
Calculated volume ... 859.1 Å³/cell

Cell: 4.843 14.400 12.318 Å, 90.00 90.00 90.00°
Fractional positions:
Ba: 0.250 0.089 0.249
Ba: 0.250 0.411 0.249
Ba: 0.250 0.750 0.258
Ba: 0.750 0.250 0.742
Ba: 0.750 0.589 0.751
Ba: 0.750 0.911 0.751
Mg: 0.250 0.055 0.583
Mg: 0.250 0.250 0.498
Mg: 0.250 0.250 0.991
Mg: 0.250 0.445 0.583
Mg: 0.250 0.580 0.006
Mg: 0.250 0.920 0.006
Mg: 0.750 0.080 0.994
Mg: 0.750 0.420 0.994
Mg: 0.750 0.555 0.417
Mg: 0.750 0.750 0.009
Mg: 0.750 0.750 0.502
Mg: 0.750 0.945 0.417
Cd: 0.250 0.081 0.843
Cd: 0.250 0.419 0.843
Cd: 0.250 0.643 0.533
Cd: 0.250 0.750 0.865
Cd: 0.250 0.857 0.533
Cd: 0.750 0.143 0.467
Cd: 0.750 0.250 0.135
Cd: 0.750 0.357 0.467
Cd: 0.750 0.581 0.157
Cd: 0.750 0.919 0.157

=====

no.,VASP energy (eV for the cell shown),energy relative to the elements (eV/atom)
1,-14.4,-0.12
2,-45.1,-0.19